Record 1
# CuReNiB (PBE, relaxed)
data_CuReNiB
_chemical_formula_sum 'Cu4 Re4 Ni4 B4'
_symmetry_space_group_name_H-M 'F -4 3 m'
_symmetry_Int_Tables_number 216
_symmetry_space_group_name_Hall 'F -4 2 3'
_cell_length_a 5.658
_cell_length_b 5.658
_cell_length_c 5.658
_cell_angle_alpha 90.00
_cell_angle_beta 90.00
_cell_angle_gamma 90.00
loop_
_atom_site_label
_atom_site_fract_x
_atom_site_fract_y
_atom_site_fract_z
Cu1 0.000 0.000 0.000
Re1 0.250 0.250 0.250
Ni1 0.000 0.000 0.500
B1 0.250 0.250 0.750
# DFT total energy: -6.2132 eV per atom
# distance to the lowest polymorph of the same formula: 422 meV/atom
# density: 11.71 g/cm³

Record 2
# CuNiSnB (PBE, relaxed)
data_CuNiSnB
_chemical_formula_sum 'Cu4 Ni4 Sn4 B4'
_symmetry_space_group_name_H-M 'F -4 3 m'
_symmetry_Int_Tables_number 216
_symmetry_space_group_name_Hall 'F -4 2 3'
_cell_length_a 5.944
_cell_length_b 5.944
_cell_length_c 5.944
_cell_angle_alpha 90.00
_cell_angle_beta 90.00
_cell_angle_gamma 90.00
loop_
_atom_site_label
_atom_site_fract_x
_atom_site_fract_y
_atom_site_fract_z
Cu1 0.000 0.000 0.000
Ni1 0.000 0.000 0.500
Sn1 0.250 0.250 0.750
B1 0.250 0.250 0.250
# DFT total energy: -4.2996 eV per atom
# distance to the lowest polymorph of the same formula: 0 meV/atom
# density: 7.96 g/cm³

Record 3
# CuNiSnB (PBE, relaxed)
data_CuNiSnB
_chemical_formula_sum 'Cu4 Ni4 Sn4 B4'
_symmetry_space_group_name_H-M 'F -4 3 m'
_symmetry_Int_Tables_number 216
_symmetry_space_group_name_Hall 'F -4 2 3'
_cell_length_a 5.962
_cell_length_b 5.962
_cell_length_c 5.962
_cell_angle_alpha 90.00
_cell_angle_beta 90.00
_cell_angle_gamma 90.00
loop_
_atom_site_label
_atom_site_fract_x
_atom_site_fract_y
_atom_site_fract_z
Cu1 0.000 0.000 0.000
Ni1 0.250 0.250 0.250
Sn1 0.000 0.000 0.500
B1 0.250 0.250 0.750
# DFT total energy: -4.2832 eV per atom
# distance to the lowest polymorph of the same formula: 16 meV/atom
# density: 7.89 g/cm³

Record 4
# CuB2Os (PBE, relaxed)
data_CuB2Os
_chemical_formula_sum 'Cu4 B8 Os4'
_symmetry_space_group_name_H-M 'F -4 3 m'
_symmetry_Int_Tables_number 216
_symmetry_space_group_name_Hall 'F -4 2 3'
_cell_length_a 5.470
_cell_length_b 5.470
_cell_length_c 5.470
_cell_angle_alpha 90.00
_cell_angle_beta 90.00
_cell_angle_gamma 90.00
loop_
_atom_site_label
_atom_site_fract_x
_atom_site_fract_y
_atom_site_fract_z
Cu1 0.000 0.000 0.000
B1 0.000 0.000 0.500
B2 0.250 0.250 0.250
Os1 0.250 0.250 0.750
# DFT total energy: -5.7930 eV per atom
# density: 11.18 g/cm³

Record 5
# Cu2BOs (PBE, relaxed)
data_Cu2BOs
_chemical_formula_sum 'Cu8 B4 Os4'
_symmetry_space_group_name_H-M 'F -4 3 m'
_symmetry_Int_Tables_number 216
_symmetry_space_group_name_Hall 'F -4 2 3'
_cell_length_a 5.621
_cell_length_b 5.621
_cell_length_c 5.621
_cell_angle_alpha 90.00
_cell_angle_beta 90.00
_cell_angle_gamma 90.00
loop_
_atom_site_label
_atom_site_fract_x
_atom_site_fract_y
_atom_site_fract_z
Cu1 0.000 0.000 0.000
Cu2 0.250 0.250 0.250
B1 0.000 0.000 0.500
Os1 0.250 0.250 0.750
# DFT total energy: -5.7865 eV per atom
# density: 12.27 g/cm³

Record 6
# CuBOsPd (PBE, relaxed)
data_CuBOsPd
_chemical_formula_sum 'Cu4 B4 Os4 Pd4'
_symmetry_space_group_name_H-M 'F -4 3 m'
_symmetry_Int_Tables_number 216
_symmetry_space_group_name_Hall 'F -4 2 3'
_cell_length_a 5.837
_cell_length_b 5.837
_cell_length_c 5.837
_cell_angle_alpha 90.00
_cell_angle_beta 90.00
_cell_angle_gamma 90.00
loop_
_atom_site_label
_atom_site_fract_x
_atom_site_fract_y
_atom_site_fract_z
Cu1 0.000 0.000 0.000
B1 0.250 0.250 0.750
Os1 0.000 0.000 0.500
Pd1 0.250 0.250 0.250
# DFT total energy: -5.9746 eV per atom
# distance to the lowest polymorph of the same formula: 0 meV/atom
# density: 12.39 g/cm³

Record 7
# CuBOsPt (PBE, relaxed)
data_CuBOsPt
_chemical_formula_sum 'Cu4 B4 Os4 Pt4'
_symmetry_space_group_name_H-M 'F -4 3 m'
_symmetry_Int_Tables_number 216
_symmetry_space_group_name_Hall 'F -4 2 3'
_cell_length_a 5.891
_cell_length_b 5.891
_cell_length_c 5.891
_cell_angle_alpha 90.00
_cell_angle_beta 90.00
_cell_angle_gamma 90.00
loop_
_atom_site_label
_atom_site_fract_x
_atom_site_fract_y
_atom_site_fract_z
Cu1 0.000 0.000 0.000
B1 0.250 0.250 0.750
Os1 0.000 0.000 0.500
Pt1 0.250 0.250 0.250
# DFT total energy: -6.1788 eV per atom
# distance to the lowest polymorph of the same formula: 0 meV/atom
# density: 14.93 g/cm³

Record 8
# CuReBOs (PBE, relaxed)
data_CuReBOs
_chemical_formula_sum 'Cu4 Re4 B4 Os4'
_symmetry_space_group_name_H-M 'F -4 3 m'
_symmetry_Int_Tables_number 216
_symmetry_space_group_name_Hall 'F -4 2 3'
_cell_length_a 5.850
_cell_length_b 5.850
_cell_length_c 5.850
_cell_angle_alpha 90.00
_cell_angle_beta 90.00
_cell_angle_gamma 90.00
loop_
_atom_site_label
_atom_site_fract_x
_atom_site_fract_y
_atom_site_fract_z
Cu1 0.000 0.000 0.000
Re1 0.000 0.000 0.500
B1 0.250 0.250 0.750
Os1 0.250 0.250 0.250
# DFT total energy: -7.7532 eV per atom
# distance to the lowest polymorph of the same formula: 0 meV/atom
# density: 14.95 g/cm³